Compound: LaYHBr2
Source: Alexandria
Functional: GGA-PBE
Structure: optimized geometry

Geometry as extended XYZ:
```
5
Lattice="-2.2504 4.3982 -2.1358 0.5940 -1.4423 -3.5960 -4.8208 -2.3882 0.1616" Properties=species:S:1:pos:R:3 pbc="T T T"
Y 0.2970 -0.7212 -1.7980
Br -1.1252 2.1991 -1.0679
Br -2.4104 -1.1941 0.0808
H 0.0000 0.0000 0.0000
La -3.2386 0.2838 -2.7851
```

## Properties
E_tot = -4.361 eV/atom
SG = No. 123